No. 1
The following is a DFT calculation (GGA-PBE) of a relaxed EuYTm2 crystal.

a b c (Å): 11.9427 11.9427 11.9427
angles (deg): 17.26 17.26 17.26
Fractional positions:
Eu (0.0000, 0.0000, 0.0000)
Y (0.5000, 0.5000, 0.5000)
Tm (0.2467, 0.2467, 0.2467)
Tm (0.7533, 0.7533, 0.7533)

## Properties
The crystal system is trigonal. The value obtained for the energy above the lowest structure with this stoichiometry is 0.0000 eV/atom. The symmetry is R-3m (166). As for the total moment: 7.7 μB/cell. As for the energy of formation from the pure elements: 0.071 eV per atom.



No. 2
The following is a DFT calculation (GGA-PBE) of a relaxed Eu2YTm crystal.

a b c (Å): 13.0097 13.0097 13.0097
angles (deg): 15.79 15.79 15.79
Fractional positions:
Eu (0.0882, 0.0882, 0.0882)
Eu (0.9118, 0.9118, 0.9118)
Y (0.0000, 0.0000, 0.0000)
Tm (0.5000, 0.5000, 0.5000)

## Properties
The crystal system is trigonal. The value obtained for the energy above the lowest structure with this stoichiometry is 0.1045 eV/atom. The symmetry is R-3m (166). As for the total moment: 15.7 μB/cell. As for the energy of formation from the pure elements: 0.234 eV per atom.



No. 3
The following is a DFT calculation (GGA-PBE) of a relaxed Eu2YTm crystal.

a b c (Å): 5.1611 5.1611 5.2669
angles (deg): 90.00 90.00 90.00
Fractional positions:
Eu (0.0000, 0.5000, 0.0000)
Eu (0.5000, 0.0000, 0.0000)
Y (0.0000, 0.0000, 0.5000)
Tm (0.5000, 0.5000, 0.5000)

## Properties
The crystal system is tetragonal. The value obtained for the energy above the lowest structure with this stoichiometry is 0.0009 eV/atom. The symmetry is P4/mmm (123). As for the total moment: 15.5 μB/cell. As for the energy of formation from the pure elements: 0.130 eV per atom.



No. 4
The following is a DFT calculation (GGA-PBE) of a relaxed EuYTm crystal.

a b c (Å): 3.6251 3.6251 8.8777
angles (deg): 90.00 90.00 120.00
Fractional positions:
Eu (0.0000, 0.0000, 0.0000)
Y (0.3333, 0.6667, 0.6512)
Tm (0.6667, 0.3333, 0.3415)

## Properties
The crystal system is trigonal. The value obtained for the energy above the lowest structure with this stoichiometry is 0.0000 eV/atom. The symmetry is P3m1 (156). As for the total moment: 7.3 μB/cell. As for the energy of formation from the pure elements: 0.064 eV per atom.



No. 5
The following is a DFT calculation (GGA-PBE) of a relaxed EuYTm2 crystal.

a b c (Å): 5.7020 5.7020 5.7020
angles (deg): 60.00 60.00 60.00
Fractional positions:
Eu (0.0000, 0.0000, 0.0000)
Y (0.5000, 0.5000, 0.5000)
Tm (0.2500, 0.2500, 0.2500)
Tm (0.7500, 0.7500, 0.7500)

## Properties
The crystal system is cubic. The value obtained for the energy above the lowest structure with this stoichiometry is 0.0946 eV/atom. The symmetry is Fm-3m (225). As for the total moment: 7.7 μB/cell. As for the energy of formation from the pure elements: 0.165 eV per atom.



No. 6
The following is a DFT calculation (GGA-PBE) of a relaxed EuYTm2 crystal.

a b c (Å): 5.0620 5.0620 5.0531
angles (deg): 90.00 90.00 90.00
Fractional positions:
Eu (0.0000, 0.0000, 0.0000)
Y (0.5000, 0.5000, 0.0000)
Tm (0.0000, 0.5000, 0.5000)
Tm (0.5000, 0.0000, 0.5000)

## Properties
The crystal system is tetragonal. The value obtained for the energy above the lowest structure with this stoichiometry is 0.0359 eV/atom. The symmetry is P4/mmm (123). As for the total moment: 7.2 μB/cell. As for the energy of formation from the pure elements: 0.107 eV per atom.



No. 7
The following is a DFT calculation (GGA-PBE) of a relaxed EuYTm crystal.

a b c (Å): 8.1065 8.1065 8.1065
angles (deg): 154.08 154.08 36.98
Fractional positions:
Eu (0.0000, 0.0000, 0.0000)
Y (0.3229, 0.3229, 0.0000)
Tm (0.6729, 0.6729, 0.0000)

## Properties
The crystal system is tetragonal. The value obtained for the energy above the lowest structure with this stoichiometry is 0.0047 eV/atom. The symmetry is I4mm (107). As for the total moment: 7.1 μB/cell. As for the energy of formation from the pure elements: 0.069 eV per atom.



No. 8
The following is a DFT calculation (GGA-PBE) of a relaxed EuYTm2 crystal.

a b c (Å): 3.5780 3.5780 10.2572
angles (deg): 90.00 90.00 90.00
Fractional positions:
Eu (0.0000, 0.0000, 0.0000)
Y (0.0000, 0.0000, 0.5000)
Tm (0.5000, 0.5000, 0.2640)
Tm (0.5000, 0.5000, 0.7360)

## Properties
The crystal system is tetragonal. The value obtained for the energy above the lowest structure with this stoichiometry is 0.0029 eV/atom. The symmetry is P4/mmm (123). As for the total moment: 7.6 μB/cell. As for the energy of formation from the pure elements: 0.074 eV per atom.



No. 9
The following is a DFT calculation (GGA-PBE) of a relaxed Eu2YTm crystal.

a b c (Å): 3.6585 3.6585 10.4892
angles (deg): 90.00 90.00 90.00
Fractional positions:
Eu (0.0000, 0.0000, 0.2464)
Eu (0.0000, 0.0000, 0.7536)
Y (0.5000, 0.5000, 0.5000)
Tm (0.5000, 0.5000, 0.0000)

## Properties
The crystal system is tetragonal. The value obtained for the energy above the lowest structure with this stoichiometry is 0.0000 eV/atom. The symmetry is P4/mmm (123). As for the total moment: 15.4 μB/cell. As for the energy of formation from the pure elements: 0.129 eV per atom.



No. 10
The following is a DFT calculation (GGA-PBE) of a relaxed Eu2YTm crystal.

a b c (Å): 5.8292 5.8292 5.8292
angles (deg): 60.00 60.00 60.00
Fractional positions:
Eu (0.2500, 0.2500, 0.2500)
Eu (0.7500, 0.7500, 0.7500)
Y (0.0000, 0.0000, 0.0000)
Tm (0.5000, 0.5000, 0.5000)

## Properties
The crystal system is cubic. The value obtained for the energy above the lowest structure with this stoichiometry is 0.0422 eV/atom. The symmetry is Fm-3m (225). As for the total moment: 14.5 μB/cell. As for the energy of formation from the pure elements: 0.172 eV per atom.



No. 11
The following is a DFT calculation (GGA-PBE) of a relaxed EuTmZn4 crystal.

a b c (Å): 5.5145 5.5145 5.5145
angles (deg): 60.00 60.00 60.00
Fractional positions:
Eu (0.0000, 0.0000, 0.0000)
Tm (0.7500, 0.7500, 0.7500)
Zn (0.3755, 0.3755, 0.3755)
Zn (0.3755, 0.3755, 0.8734)
Zn (0.3755, 0.8734, 0.3755)
Zn (0.8734, 0.3755, 0.3755)

## Properties
The crystal system is cubic. The symmetry is F-43m (216). As for the total moment: 6.9 μB/cell. As for the energy of formation from the pure elements: -0.268 eV per atom.



No. 12
The following is a DFT calculation (GGA-PBE) of a relaxed Eu2TmZn crystal.

a b c (Å): 4.9113 4.9113 4.9154
angles (deg): 90.00 90.00 90.00
Fractional positions:
Eu (0.0000, 0.5000, 0.0000)
Eu (0.5000, 0.0000, 0.0000)
Tm (0.0000, 0.0000, 0.5000)
Zn (0.5000, 0.5000, 0.5000)

## Properties
The crystal system is tetragonal. The value obtained for the energy above the lowest structure with this stoichiometry is 0.1119 eV/atom. The symmetry is P4/mmm (123). As for the total moment: 15.1 μB/cell. As for the energy of formation from the pure elements: 0.063 eV per atom.